CaBeP2: optimized geometry, PBE-GGA.

a = 4.1645 Å, b = 4.1646 Å, c = 3.7800 Å
α = 89.98°, β = 89.98°, γ = 89.99°
Closest atoms and distances in Å follow each position.
Atoms (fractional coordinates):
Ca (0.0000, 0.5000, 0.5000)  8 P 2.81, 4 Be 2.94
P (0.0000, 0.0000, 0.0000)  4 Be 2.81, 4 Ca 2.81, 4 P 2.94
P (0.5000, 0.5000, 0.0000)  4 Ca 2.81, 4 Be 2.81, 4 P 2.94
Be (0.5000, 0.0000, 0.5000)  8 P 2.81, 4 Ca 2.94

Results
- ΔE_f: -0.016 eV per atom
- Symmetry: P4/mmm (123)
- DOS at the Fermi energy: 0.241 states/eV per atom
- Total DFT energy (no corrections): -16.61 eV for the cell shown
- Total magnetization: 0.00 μB per atom

Hf2ZrOs2: optimized geometry, PBE-GGA.

a = 4.2970 Å, b = 4.2970 Å, c = 6.4109 Å
α = 70.42°, β = 70.42°, γ = 90.00°
Closest atoms and distances in Å follow each position.
Atoms (fractional coordinates):
Hf (0.7500, 0.2500, 0.5000)  4 Os 2.68
Hf (0.2500, 0.7500, 0.5000)  4 Os 2.68
Os (0.3917, 0.3917, 0.2166)  1 Os 2.45, 4 Hf 2.68
Os (0.6083, 0.6083, 0.7834)  1 Os 2.45, 4 Hf 2.68
Zr (0.0000, 0.0000, 0.0000)  8 Os 3.28, 8 Hf 3.55

Results
- ΔE_f: -0.096 eV per atom
- Symmetry: I4/mmm (139)
- DOS at the Fermi energy: 1.325 states/eV per atom
- Total DFT energy (no corrections): -51.39 eV for the cell shown
- Total magnetization: 0.00 μB per atom
- E above lowest polymorph: 209.2 meV/atom

K2SnRu2: optimized geometry, PBE-GGA.

a = 6.6870 Å, b = 6.6870 Å, c = 5.7977 Å
α = 90.00°, β = 90.00°, γ = 90.00°
Closest atoms and distances in Å follow each position.
Atoms (fractional coordinates):
Ru (0.6220, 0.1220, 0.0000)  1 Ru 2.31
Ru (0.1220, 0.3780, 0.0000)  1 Ru 2.31
Ru (0.3780, 0.8780, 0.0000)  1 Ru 2.31
Ru (0.8780, 0.6220, 0.0000)  1 Ru 2.31
Sn (0.0000, 0.0000, 0.0000)  4 Ru 2.66
Sn (0.5000, 0.5000, 0.0000)  4 Ru 2.66
K (0.3233, 0.1767, 0.5000)  5 K 3.34-3.48, 6 Ru 3.47-3.54
K (0.6767, 0.8233, 0.5000)  5 K 3.34-3.48, 6 Ru 3.47-3.54
K (0.8233, 0.3233, 0.5000)  5 K 3.34-3.48, 6 Ru 3.47-3.54
K (0.1767, 0.6767, 0.5000)  5 K 3.34-3.48, 6 Ru 3.47-3.54

Results
- ΔE_f: 0.499 eV per atom
- Symmetry: P4/mbm (127)
- DOS at the Fermi energy: 1.192 states/eV per atom
- Total DFT energy (no corrections): -44.51 eV for the cell shown
- Total magnetization: 0.21 μB per atom
- E above lowest polymorph: 0.0 meV/atom

CdOs2Br: optimized geometry, PBE-GGA.

a = 2.9279 Å, b = 2.9279 Å, c = 9.4910 Å
α = 90.00°, β = 90.00°, γ = 122.28°
Closest atoms and distances in Å follow each position.
Atoms (fractional coordinates):
Os (0.0000, 0.0000, 0.4927)  2 Br 2.70, 2 Cd 2.82, 6 Os 2.83-2.93
Os (0.0000, 0.0000, 0.0073)  2 Br 2.70, 2 Cd 2.82, 6 Os 2.83-2.93
Cd (0.5000, 0.5000, 0.7500)  4 Os 2.82, 6 Cd 2.83-2.93
Br (0.5000, 0.5000, 0.2500)  4 Os 2.70, 6 Br 2.83-2.93

Results
- Symmetry: Cmmm (65)
- DOS at the Fermi energy: 1.134 states/eV per atom
- Total DFT energy (no corrections): -20.25 eV for the cell shown
- Total magnetization: 0.00 μB per atom
- Raw formation energy: 1.1985 eV per atom
- E above lowest polymorph: 763.8 meV/atom